This record from the Alexandria database describes a geometry-optimized ZrTaReIr structure. The functional is GGA-PBE.

Lattice parameters (Å, degrees): 6.4986 6.4986 6.4986 90.00 90.00 90.00
With the nearest neighbours (Å) after each atom.
Space group F-43m (No. 216)
Inequivalent atoms, fractional coordinates:
Zr (0.0000, 0.0000, 0.0000)  4 Ir 2.81, 4 Re 2.81
Ta (0.0000, 0.0000, 0.5000)  4 Re 2.81, 4 Ir 2.81
Re (0.2500, 0.2500, 0.7500)  4 Zr 2.81, 4 Ta 2.81
Ir (0.2500, 0.2500, 0.2500)  4 Ta 2.81, 4 Zr 2.81

***

This record from the Alexandria database describes a geometry-optimized ReTcIr2 structure. The functional is GGA-PBE.

Lattice parameters (Å, degrees): 2.7294 3.9168 5.4480 90.00 90.00 90.00
With the nearest neighbours (Å) after each atom.
Space group Pmmm (No. 47)
Inequivalent atoms, fractional coordinates:
Re (0.0000, 0.0000, 0.0000)  2 Tc 2.72, 2 Re 2.73, 8 Ir 2.75
Tc (0.0000, 0.0000, 0.5000)  2 Re 2.72, 2 Tc 2.73, 8 Ir 2.75
Ir (0.5000, 0.5000, 0.2502)  4 Ir 2.72-2.73, 4 Tc 2.75, 4 Re 2.75

***

no.,total magnetization (μB/atom),final energy (eV per atom)
1,0.00,-10.88
2,0.00,-10.29